The following is a DFT calculation (GGA-PBEsol) of a relaxed NbPHCl2 crystal.

abc: 3.243 4.611 4.611
angles: 90.00 90.00 90.00
Positions (direct):
Cl1 0.000 0.000 0.500
Cl2 0.000 0.500 0.000
Nb1 0.500 0.500 0.500
P1 0.500 0.000 0.000
H1 0.000 0.000 0.000

* ΔE to the lowest computed polymorph: 0.2929 eV/atom
* space group: P4/mmm
* M_tot: 0.003 μB per formula unit

***

The following is a DFT calculation (GGA-PBEsol) of a relaxed Ba2AlTc crystal.

abc: 3.582 3.582 9.291
angles: 90.00 90.00 90.00
Positions (direct):
Tc1 0.000 0.000 0.598
Al1 0.500 0.500 0.661
Ba1 0.500 0.500 0.332
Ba2 0.000 0.000 0.908

* space group: P4mm
* M_tot: 0.001 μB per formula unit
* formation enthalpy at 0 K: 214 meV per atom